(1)
Below is a relaxed Tl2Hg7H2 crystal, with properties calculated at the GGA-PBE level.

Cell lengths 8.606, 9.087, 10.796 Å; angles 57.47, 33.01, 38.94 degrees
Atoms (fractional coordinates):
Hg 0.708 0.978 0.574
Hg 0.772 0.633 0.473
Tl 0.968 0.298 0.198
Hg 0.292 0.022 0.426
Tl 0.032 0.702 0.802
Hg 0.485 0.395 0.924
H 0.393 0.984 0.203
Hg 0.515 0.605 0.076
Hg 0.000 0.000 0.000
Hg 0.228 0.367 0.527
H 0.607 0.016 0.797

Results
* symmetry: P-1

(2)
Below is a relaxed Tl5Hg2H2 crystal, with properties calculated at the GGA-PBE level.

Cell lengths 6.250, 7.156, 11.691 Å; angles 107.82, 105.50, 90.00 degrees
Atoms (fractional coordinates):
Tl 0.037 0.752 0.205
Tl 0.333 0.047 0.795
Tl 0.559 0.307 0.500
H 0.540 0.833 0.830
H 0.210 0.503 0.170
Hg 0.088 0.000 0.000
H 0.710 0.167 0.170
Tl 0.304 0.511 0.735
Hg 0.588 0.500 0.000
Tl 0.804 0.723 0.735
H 0.040 0.497 0.830
Tl 0.569 0.489 0.265
Tl 0.059 0.693 0.500
Hg 0.024 0.140 0.500
Hg 0.524 0.860 0.500
Tl 0.833 0.248 0.795
Tl 0.537 0.953 0.205
Tl 0.069 0.277 0.265

Results
* symmetry: Ima2

(3)
Below is a relaxed Tl4Hg2H3 crystal, with properties calculated at the GGA-PBE level.

Cell lengths 6.349, 4.679, 11.046 Å; angles 63.60, 91.12, 128.21 degrees
Atoms (fractional coordinates):
Hg 0.176 0.600 0.613
Tl 0.407 0.600 0.322
Tl 0.800 0.627 0.922
H 0.231 0.819 0.878
Tl 0.200 0.373 0.078
Tl 0.593 0.400 0.678
H 0.769 0.181 0.122
Hg 0.824 0.400 0.387
H 0.000 0.000 0.000

Results
* symmetry: P-1

The records above give, respectively, total energy values of -1.0875, -1.9276, -2.0167 eV/atom.
The records above give, respectively, size of the total moment values of 0.000, 0.000, 0.000 μB per atom.